Entry 1:
DFT (PBE) results for a relaxed structure of AlTl2.

The structure in POSCAR format:
```
AlTl2
1.0
-4.0449 -5.1080 -0.9915
-1.5568 -3.6779 -5.2427
4.7060 2.7736 3.6873
Tl Al
2 1
Cartesian
-3.6612 -5.7424 -4.0745
-1.9405 -3.0436 -2.1596
0.0000 0.0000 0.0000
```

---

Entry 2:
DFT (PBE) results for a relaxed structure of Al4Tl3.

The structure in POSCAR format:
```
Al4Tl3
1.0
-4.3629 4.6530 -0.5687
0.4310 -4.5507 -4.4849
-3.3882 -2.8618 2.5783
Al Tl
4 3
Cartesian
-0.8470 -0.7154 0.6445
-2.5412 -2.1465 1.9338
-4.4590 0.1542 -0.5849
-2.8611 -2.9137 -1.8903
0.2155 -2.2753 -2.2424
-1.9660 0.0511 -2.5268
-2.1814 2.3265 -0.2843
```

---

Number 1: uncorrected energy -0.0960 Ha/atom, DFT formation energy 0.635 eV/f.u.. Number 2: uncorrected energy -0.0986 Ha/atom, DFT formation energy 3.282 eV/f.u..